[1]
DFT (GGA-PBE) results for an optimized crystal structure of TlP2PbBrO.

Cell lengths 9.294, 3.581, 10.903 Å; angles 90.00, 119.90, 90.00 degrees
Fractional coordinates of all 12 atoms:
P  0.963  0.500  0.733
P  0.963  0.000  0.233
P  0.132  0.000  0.750
P  0.132  0.500  0.250
O  0.980  0.000  0.388
O  0.980  0.500  0.888
Br  0.510  0.000  0.635
Br  0.510  0.500  0.135
Tl  0.715  0.000  0.445
Tl  0.715  0.500  0.945
Pb  0.204  0.000  0.048
Pb  0.204  0.500  0.548

Results
- uncorrected energy (eV for the cell shown) = -54.01
- energy relative to the elements, uncorrected (eV/atom) = -0.580
- total magnetic moment (μB per atom) = 0.000

=====

[2]
DFT (GGA-PBE) results for an optimized crystal structure of TlP2PbBrO.

Cell lengths 4.237, 4.600, 8.646 Å; angles 79.19, 86.53, 77.64 degrees
Fractional coordinates of all 6 atoms:
Tl  0.794  0.920  0.715
O  0.695  0.272  0.968
P  0.330  0.538  0.983
P  0.972  0.308  0.102
Br  0.188  0.410  0.502
Pb  0.520  0.772  0.235

Results
- uncorrected energy (eV for the cell shown) = -26.61
- energy relative to the elements, uncorrected (eV/atom) = -0.515
- total magnetic moment (μB per atom) = 0.000

=====

[3]
DFT (GGA-PBE) results for an optimized crystal structure of TlP2PbBrO.

Cell lengths 3.565, 4.914, 9.167 Å; angles 100.91, 99.53, 90.37 degrees
Fractional coordinates of all 6 atoms:
Pb  0.566  0.855  0.768
Br  0.996  0.749  0.479
O  0.803  0.837  0.063
P  0.231  0.383  0.874
P  0.801  0.510  0.043
Tl  0.382  0.158  0.270

Results
- uncorrected energy (eV for the cell shown) = -27.06
- energy relative to the elements, uncorrected (eV/atom) = -0.590
- total magnetic moment (μB per atom) = 0.000

=====

[4]
DFT (GGA-PBE) results for an optimized crystal structure of TlP2PbBrO.

Cell lengths 4.866, 4.453, 16.215 Å; angles 90.00, 102.02, 90.00 degrees
Fractional coordinates of all 12 atoms:
O  0.947  0.500  0.960
O  0.947  0.000  0.460
P  0.548  0.000  0.997
P  0.645  0.000  0.483
P  0.645  0.500  0.983
P  0.548  0.500  0.497
Tl  0.546  0.000  0.673
Tl  0.546  0.500  0.173
Pb  0.014  0.500  0.395
Pb  0.014  0.000  0.895
Br  0.079  0.500  0.739
Br  0.079  0.000  0.239

Results
- uncorrected energy (eV for the cell shown) = -53.32
- energy relative to the elements, uncorrected (eV/atom) = -0.523
- total magnetic moment (μB per atom) = 0.000

=====

[5]
DFT (GGA-PBE) results for an optimized crystal structure of TlP2PbBrO.

Cell lengths 3.599, 4.722, 9.838 Å; angles 81.33, 79.94, 89.93 degrees
Fractional coordinates of all 6 atoms:
P  0.813  0.529  0.776
P  0.370  0.750  0.656
Pb  0.938  0.261  0.518
O  0.440  0.611  0.511
Tl  0.687  0.920  0.038
Br  0.115  0.398  0.189

Results
- uncorrected energy (eV for the cell shown) = -26.92
- energy relative to the elements, uncorrected (eV/atom) = -0.565
- total magnetic moment (μB per atom) = 0.000

=====

[6]
DFT (GGA-PBE) results for an optimized crystal structure of TlP2PbBrO.

Cell lengths 4.456, 4.943, 8.143 Å; angles 76.98, 85.66, 82.84 degrees
Fractional coordinates of all 6 atoms:
O  0.349  0.067  0.533
P  0.615  0.381  0.754
P  0.640  0.049  0.633
Br  0.649  0.658  0.202
Pb  0.137  0.605  0.517
Tl  0.080  0.190  0.049

Results
- uncorrected energy (eV for the cell shown) = -26.82
- energy relative to the elements, uncorrected (eV/atom) = -0.549
- total magnetic moment (μB per atom) = 0.000